[1]
BaLa2Ru: relaxed, PBEsol.

CIF file:
```
data_BaLa2Ru
_symmetry_space_group_name_H-M 'R -3 m'
_symmetry_Int_Tables_number 166
_symmetry_space_group_name_Hall '-R 3 2"'
_cell_length_a 4.1323
_cell_length_b 4.1323
_cell_length_c 29.7589
_cell_angle_alpha 90.00
_cell_angle_beta 90.00
_cell_angle_gamma 120.00
loop_
_atom_site_label
_atom_site_type_symbol
_atom_site_fract_x
_atom_site_fract_y
_atom_site_fract_z
Ba1 Ba 0.0000 0.0000 0.0000
La1 La 0.0000 0.0000 0.2160
Ru1 Ru 0.0000 0.0000 0.5000
```

Summary:
E_tot = -0.42944 Ry/atom
Theoretical density = 5.8 Mg/m³
Polymorph energy (0 for the lowest one) = 0.000 eV/atom
N(E_F) = 9.2 states/eV/cell


[2]
KBe2Tc2: relaxed, PBEsol.

CIF file:
```
data_KBe2Tc2
_symmetry_space_group_name_H-M 'I 4/m m m'
_symmetry_Int_Tables_number 139
_symmetry_space_group_name_Hall '-I 4 2'
_cell_length_a 4.4260
_cell_length_b 4.4260
_cell_length_c 8.0126
_cell_angle_alpha 90.00
_cell_angle_beta 90.00
_cell_angle_gamma 90.00
loop_
_atom_site_label
_atom_site_type_symbol
_atom_site_fract_x
_atom_site_fract_y
_atom_site_fract_z
K1 K 0.0000 0.0000 0.0000
Be1 Be 0.0000 0.5000 0.2500
Tc1 Tc 0.0000 0.0000 0.3592
```

Summary:
E_tot = -0.39983 Ry/atom
Theoretical density = 5.4 Mg/m³
N(E_F) = 4.4 states/eV/cell


[3]
La2YMo: relaxed, PBEsol.

CIF file:
```
data_La2YMo
_symmetry_space_group_name_H-M 'P m m 2'
_symmetry_Int_Tables_number 25
_cell_length_a 3.2036
_cell_length_b 4.8695
_cell_length_c 6.5217
_cell_angle_alpha 90.00
_cell_angle_beta 90.00
_cell_angle_gamma 90.00
loop_
_symmetry_equiv_pos_as_xyz
'x,y,z'
'-x,-y,z'
'-x,y,z'
'x,-y,z'
loop_
_atom_site_label
_atom_site_type_symbol
_atom_site_fract_x
_atom_site_fract_y
_atom_site_fract_z
La1 La 0.0000 0.0000 0.0000
La2 La 0.5000 0.5000 0.2770
Y1 Y 0.5000 0.5000 0.7202
Mo1 Mo 0.0000 0.0000 0.5216
```

Summary:
E_tot = -0.50468 Ry/atom
Theoretical density = 7.6 Mg/m³
Polymorph energy (0 for the lowest one) = 0.146 eV/atom
N(E_F) = 5.0 states/eV/cell


[4]
NaAlSiO4: relaxed, PBEsol.

CIF file:
```
data_NaAlSiO4
_symmetry_space_group_name_H-M 'P c a 21'
_symmetry_Int_Tables_number 29
_cell_length_a 10.3119
_cell_length_b 5.1846
_cell_length_c 14.0485
_cell_angle_alpha 90.00
_cell_angle_beta 90.00
_cell_angle_gamma 90.00
loop_
_symmetry_equiv_pos_as_xyz
'x,y,z'
'-x,-y,z+1/2'
'-x+1/2,y,z+1/2'
'x+1/2,-y,z'
loop_
_atom_site_label
_atom_site_type_symbol
_atom_site_fract_x
_atom_site_fract_y
_atom_site_fract_z
Na1 Na 0.0248 0.0492 0.0000
Na2 Na 0.2130 0.5563 0.7517
Al1 Al 0.0270 0.9400 0.2505
Al2 Al 0.2206 0.5460 0.0026
Si1 Si 0.0308 0.4414 0.3771
Si2 Si 0.2226 0.0456 0.6257
O1 O 0.0020 0.8571 0.8486
O2 O 0.0079 0.3767 0.7865
O3 O 0.0580 0.4874 0.9700
O4 O 0.0709 0.9865 0.6515
O5 O 0.1835 0.4840 0.4020
O6 O 0.1906 0.9608 0.2175
O7 O 0.2364 0.8738 0.0330
O8 O 0.2449 0.3504 0.6016
```

Summary:
E_tot = -0.54055 Ry/atom
Theoretical density = 2.5 Mg/m³
Formation energy without anion corrections = -2749.5 meV per atom
Polymorph energy (0 for the lowest one) = 0.000 eV/atom
N(E_F) = 0.0 states/eV/cell